1:
! GGA-PBE CoNiHgBi, relaxed; values from VASP
&SYSTEM
  ibrav = 0, nat = 4, ntyp = 4
/
ATOMIC_SPECIES
Co 58.93 Co.upf
Ni 58.69 Ni.upf
Hg 200.59 Hg.upf
Bi 208.98 Bi.upf
CELL_PARAMETERS angstrom
4.6892 -0.2290 0.2059
2.0835 -2.5153 3.3788
2.2062 -4.0074 -1.0757
ATOMIC_POSITIONS crystal
Co 0.5000 0.5000 0.5000
Ni 0.7500 0.7500 0.7500
Hg 0.2500 0.2500 0.2500
Bi 0.0000 0.0000 0.0000
! Space group: No. 216

=====

2:
! GGA-PBE CoNiHgBi, relaxed; values from VASP
&SYSTEM
  ibrav = 0, nat = 4, ntyp = 4
/
ATOMIC_SPECIES
Hg 200.59 Hg.upf
Bi 208.98 Bi.upf
Ni 58.69 Ni.upf
Co 58.93 Co.upf
CELL_PARAMETERS angstrom
2.2450 2.8367 2.8358
-1.0277 0.0591 4.4799
2.9780 -1.6954 3.0637
ATOMIC_POSITIONS crystal
Hg 0.5000 0.5000 0.5000
Bi 0.0000 0.0000 0.0000
Ni 0.2500 0.2500 0.2500
Co 0.7500 0.7500 0.7500
! Space group: No. 216

=====

Quick one: least stable of them? 1

=====

1:
! GGA-PBE CoReHgBi, relaxed; values from VASP
&SYSTEM
  ibrav = 0, nat = 4, ntyp = 4
/
ATOMIC_SPECIES
Re 186.21 Re.upf
Hg 200.59 Hg.upf
Bi 208.98 Bi.upf
Co 58.93 Co.upf
CELL_PARAMETERS angstrom
0.0000 3.3713 3.3713
3.3713 0.0000 3.3713
3.3713 3.3713 0.0000
ATOMIC_POSITIONS crystal
Re 0.5000 0.5000 0.5000
Hg 0.2500 0.2500 0.2500
Bi 0.0000 0.0000 0.0000
Co 0.7500 0.7500 0.7500
! Space group: No. 216

=====

2:
! GGA-PBE CoReHgBi, relaxed; values from VASP
&SYSTEM
  ibrav = 0, nat = 4, ntyp = 4
/
ATOMIC_SPECIES
Co 58.93 Co.upf
Bi 208.98 Bi.upf
Re 186.21 Re.upf
Hg 200.59 Hg.upf
CELL_PARAMETERS angstrom
0.0000 3.2843 3.2843
3.2843 0.0000 3.2843
3.2843 3.2843 0.0000
ATOMIC_POSITIONS crystal
Co 0.7500 0.7500 0.7500
Bi 0.0000 0.0000 0.0000
Re 0.2500 0.2500 0.2500
Hg 0.5000 0.5000 0.5000
! Space group: No. 216

=====

Quick one: least stable of them? 1

=====

1:
! GGA-PBE ZrCoHgBi, relaxed; values from VASP
&SYSTEM
  ibrav = 0, nat = 4, ntyp = 4
/
ATOMIC_SPECIES
Zr 91.22 Zr.upf
Hg 200.59 Hg.upf
Co 58.93 Co.upf
Bi 208.98 Bi.upf
CELL_PARAMETERS angstrom
0.0000 3.4270 3.4270
3.4270 0.0000 3.4270
3.4270 3.4270 0.0000
ATOMIC_POSITIONS crystal
Zr 0.2500 0.2500 0.2500
Hg 0.5000 0.5000 0.5000
Co 0.7500 0.7500 0.7500
Bi 0.0000 0.0000 0.0000
! Space group: No. 216

=====

2:
! GGA-PBE ZrCoHgBi, relaxed; values from VASP
&SYSTEM
  ibrav = 0, nat = 4, ntyp = 4
/
ATOMIC_SPECIES
Co 58.93 Co.upf
Zr 91.22 Zr.upf
Hg 200.59 Hg.upf
Bi 208.98 Bi.upf
CELL_PARAMETERS angstrom
-0.4252 -4.6244 1.6093
-3.5920 -1.1900 3.1364
-3.7540 -2.7912 -1.5075
ATOMIC_POSITIONS crystal
Co 0.7500 0.7500 0.7500
Zr 0.5000 0.5000 0.5000
Hg 0.2500 0.2500 0.2500
Bi 0.0000 0.0000 0.0000
! Space group: No. 216

=====

Quick one: least stable of them? 1

=====

1:
! GGA-PBE LuCoBiIr, relaxed; values from VASP
&SYSTEM
  ibrav = 0, nat = 4, ntyp = 4
/
ATOMIC_SPECIES
Co 58.93 Co.upf
Lu 174.97 Lu.upf
Bi 208.98 Bi.upf
Ir 192.22 Ir.upf
CELL_PARAMETERS angstrom
0.0000 3.3495 3.3495
3.3495 0.0000 3.3495
3.3495 3.3495 0.0000
ATOMIC_POSITIONS crystal
Co 0.7500 0.7500 0.7500
Lu 0.2500 0.2500 0.2500
Bi 0.0000 0.0000 0.0000
Ir 0.5000 0.5000 0.5000
! Space group: No. 216

=====

2:
! GGA-PBE LuCoBiIr, relaxed; values from VASP
&SYSTEM
  ibrav = 0, nat = 4, ntyp = 4
/
ATOMIC_SPECIES
Bi 208.98 Bi.upf
Ir 192.22 Ir.upf
Lu 174.97 Lu.upf
Co 58.93 Co.upf
CELL_PARAMETERS angstrom
0.0000 3.3268 3.3268
3.3268 0.0000 3.3268
3.3268 3.3268 0.0000
ATOMIC_POSITIONS crystal
Bi 0.0000 0.0000 0.0000
Ir 0.2500 0.2500 0.2500
Lu 0.5000 0.5000 0.5000
Co 0.7500 0.7500 0.7500
! Space group: No. 216

=====

Quick one: least stable of them? 1

=====

1:
! GGA-PBE YCoBiIr, relaxed; values from VASP
&SYSTEM
  ibrav = 0, nat = 4, ntyp = 4
/
ATOMIC_SPECIES
Bi 208.98 Bi.upf
Ir 192.22 Ir.upf
Co 58.93 Co.upf
Y 88.91 Y.upf
CELL_PARAMETERS angstrom
-2.1307 -3.8054 1.9260
-3.7390 0.5755 2.9016
-4.3592 -1.2782 -1.4470
ATOMIC_POSITIONS crystal
Bi 0.0000 0.0000 0.0000
Ir 0.2500 0.2500 0.2500
Co 0.7500 0.7500 0.7500
Y 0.5000 0.5000 0.5000
! Space group: No. 216

=====

2:
! GGA-PBE YCoBiIr, relaxed; values from VASP
&SYSTEM
  ibrav = 0, nat = 4, ntyp = 4
/
ATOMIC_SPECIES
Co 58.93 Co.upf
Y 88.91 Y.upf
Bi 208.98 Bi.upf
Ir 192.22 Ir.upf
CELL_PARAMETERS angstrom
0.0000 3.3964 3.3964
3.3964 0.0000 3.3964
3.3964 3.3964 0.0000
ATOMIC_POSITIONS crystal
Co 0.7500 0.7500 0.7500
Y 0.2500 0.2500 0.2500
Bi 0.0000 0.0000 0.0000
Ir 0.5000 0.5000 0.5000
! Space group: No. 216

=====

Quick one: least stable of them? 2

=====

1:
! GGA-PBE LiTaCoBi, relaxed; values from VASP
&SYSTEM
  ibrav = 0, nat = 4, ntyp = 4
/
ATOMIC_SPECIES
Li 6.94 Li.upf
Co 58.93 Co.upf
Bi 208.98 Bi.upf
Ta 180.95 Ta.upf
CELL_PARAMETERS angstrom
0.0000 3.2440 3.2440
3.2440 0.0000 3.2440
3.2440 3.2440 0.0000
ATOMIC_POSITIONS crystal
Li 0.5000 0.5000 0.5000
Co 0.7500 0.7500 0.7500
Bi 0.0000 0.0000 0.0000
Ta 0.2500 0.2500 0.2500
! Space group: No. 216

=====

2:
! GGA-PBE LiTaCoBi, relaxed; values from VASP
&SYSTEM
  ibrav = 0, nat = 4, ntyp = 4
/
ATOMIC_SPECIES
Bi 208.98 Bi.upf
Li 6.94 Li.upf
Co 58.93 Co.upf
Ta 180.95 Ta.upf
CELL_PARAMETERS angstrom
3.2880 -2.6104 -1.6137
0.1273 -4.3693 1.0593
-0.9192 -3.0997 -3.1266
ATOMIC_POSITIONS crystal
Bi 0.0000 0.0000 0.0000
Li 0.2500 0.2500 0.2500
Co 0.7500 0.7500 0.7500
Ta 0.5000 0.5000 0.5000
! Space group: No. 216

=====

Quick one: least stable of them? 1